Entry from the Alexandria database: crystalline La6Pm5Mg2 at its relaxed geometry (PBE).

abc: 10.784 23.407 3.602
angles: 90.00 90.00 90.00
Positions (direct):
La1 0.017 0.113 0.000
La2 0.149 0.383 0.000
La3 0.167 0.633 0.500
La4 0.333 0.133 0.500
La5 0.351 0.883 0.000
La6 0.483 0.613 0.000
La7 0.517 0.387 0.000
La8 0.649 0.117 0.000
La9 0.667 0.867 0.500
La10 0.833 0.367 0.500
La11 0.851 0.617 0.000
La12 0.983 0.887 0.000
Pm1 0.000 0.500 0.500
Pm2 0.083 0.249 0.500
Pm3 0.166 0.995 0.500
Pm4 0.334 0.495 0.500
Pm5 0.417 0.749 0.500
Pm6 0.500 0.000 0.500
Pm7 0.583 0.251 0.500
Pm8 0.666 0.505 0.500
Pm9 0.834 0.005 0.500
Pm10 0.917 0.751 0.500
Mg1 0.167 0.760 0.000
Mg2 0.333 0.260 0.000
Mg3 0.667 0.740 0.000
Mg4 0.833 0.240 0.000

Computed properties:
- space-group type = Pbam, No. 55

---

Entry from the Alexandria database: crystalline La2PmMg4 at its relaxed geometry (PBE).

abc: 8.591 8.591 8.591
angles: 37.09 37.09 37.09
Positions (direct):
La1 0.216 0.216 0.216
La2 0.784 0.784 0.784
Pm1 0.500 0.500 0.500
Mg1 0.067 0.067 0.067
Mg2 0.363 0.363 0.363
Mg3 0.637 0.637 0.637
Mg4 0.933 0.933 0.933

Computed properties:
- space-group type = R-3m, No. 166

---

Number 1: formation energy 105.7 meV per atom. Number 2: formation energy 48.3 meV per atom.